No. 1
# Sr2Sb2Se | Alexandria via LeMat-Bulk | PBE | relaxed
# - ΔE to the lowest computed polymorph: 249.6 meV/atom
# - Energy relative to the elements, uncorrected: -0.680 eV/atom
# - DFT total energy: -0.27185 Ry/atom
data_Sr2Sb2Se
_space_group_name_H-M_alt 'I 4/m m m'
_space_group_IT_number 139
_space_group_name_Hall '-I 4 2'
_cell_length_a 6.394
_cell_length_b 6.394
_cell_length_c 8.830
_cell_angle_alpha 90.00
_cell_angle_beta 90.00
_cell_angle_gamma 90.00
loop_
_atom_site_label
_atom_site_fract_x
_atom_site_fract_y
_atom_site_fract_z
_atom_site_occupancy
Sr1 0.000 0.500 0.250 1
Sb1 0.000 0.000 0.166 1
Se1 0.000 0.000 0.500 1

---

No. 2
# Na2AcPaO5 | Alexandria via LeMat-Bulk | PBE | relaxed
# - Energy relative to the elements, uncorrected: -2.705 eV/atom
# - DFT total energy: -0.53394 Ry/atom
data_Na2AcPaO5
_space_group_name_H-M_alt 'P 4/m m m'
_space_group_IT_number 123
_space_group_name_Hall '-P 4 2'
_cell_length_a 4.232
_cell_length_b 4.232
_cell_length_c 9.057
_cell_angle_alpha 90.00
_cell_angle_beta 90.00
_cell_angle_gamma 90.00
loop_
_atom_site_label
_atom_site_fract_x
_atom_site_fract_y
_atom_site_fract_z
_atom_site_occupancy
Na1 0.000 0.000 0.225 1
Ac1 0.500 0.500 0.500 1
Pa1 0.500 0.500 0.000 1
O1 0.000 0.000 0.500 1
O2 0.000 0.500 0.000 1
O3 0.500 0.500 0.243 1

---

No. 3
# InGaIr | Alexandria via LeMat-Bulk | PBE | relaxed
# - DFT total energy: -0.37540 Ry/atom
# - Energy of formation from the pure elements: -0.23 eV per atom
data_InGaIr
_space_group_name_H-M_alt 'P 4 m m'
_space_group_IT_number 99
_space_group_name_Hall 'P 4 -2'
_cell_length_a 3.047
_cell_length_b 3.047
_cell_length_c 6.054
_cell_angle_alpha 90.00
_cell_angle_beta 90.00
_cell_angle_gamma 90.00
loop_
_atom_site_label
_atom_site_fract_x
_atom_site_fract_y
_atom_site_fract_z
_atom_site_occupancy
In1 0.000 0.000 0.000 1
Ga1 0.000 0.000 0.447 1
Ir1 0.500 0.500 0.690 1

---

No. 4
# MgScTcSn | Alexandria via LeMat-Bulk | PBE | relaxed
# - ΔE to the lowest computed polymorph: 19.2 meV/atom
# - DFT total energy: -0.42167 Ry/atom
# - Energy of formation from the pure elements: -0.16 eV per atom
data_MgScTcSn
_space_group_name_H-M_alt 'P m m m'
_space_group_IT_number 47
_space_group_name_Hall '-P 2 2'
_cell_length_a 3.874
_cell_length_b 4.286
_cell_length_c 4.510
_cell_angle_alpha 90.00
_cell_angle_beta 90.00
_cell_angle_gamma 90.00
loop_
_atom_site_label
_atom_site_fract_x
_atom_site_fract_y
_atom_site_fract_z
_atom_site_occupancy
Mg1 0.000 0.000 0.000 1
Sc1 0.000 0.500 0.500 1
Tc1 0.500 0.000 0.500 1
Sn1 0.500 0.500 0.000 1

---

No. 5
# BaCd2InCu | Alexandria via LeMat-Bulk | PBE | relaxed
# - DFT total energy: -0.16610 Ry/atom
# - Energy of formation from the pure elements: -0.14 eV per atom
data_BaCd2InCu
_space_group_name_H-M_alt 'P 4/m m m'
_space_group_IT_number 123
_space_group_name_Hall '-P 4 2'
_cell_length_a 5.202
_cell_length_b 5.202
_cell_length_c 5.147
_cell_angle_alpha 90.00
_cell_angle_beta 90.00
_cell_angle_gamma 90.00
loop_
_atom_site_label
_atom_site_fract_x
_atom_site_fract_y
_atom_site_fract_z
_atom_site_occupancy
Ba1 0.000 0.000 0.000 1
Cd1 0.000 0.500 0.500 1
In1 0.500 0.500 0.000 1
Cu1 0.500 0.500 0.500 1

---

No. 6
# Ce2NdIn | Alexandria via LeMat-Bulk | PBE | relaxed
# - ΔE to the lowest computed polymorph: 180.5 meV/atom
# - DFT total energy: -0.35748 Ry/atom
# - Energy of formation from the pure elements: -0.02 eV per atom
data_Ce2NdIn
_space_group_name_H-M_alt 'F m -3 m'
_space_group_IT_number 225
_space_group_name_Hall '-F 4 2 3'
_cell_length_a 7.821
_cell_length_b 7.821
_cell_length_c 7.821
_cell_angle_alpha 90.00
_cell_angle_beta 90.00
_cell_angle_gamma 90.00
loop_
_atom_site_label
_atom_site_fract_x
_atom_site_fract_y
_atom_site_fract_z
_atom_site_occupancy
Ce1 0.250 0.250 0.250 1
Nd1 0.000 0.000 0.000 1
In1 0.000 0.000 0.500 1

---

No. 7
# BeClF2 | Alexandria via LeMat-Bulk | PBE | relaxed
# - ΔE to the lowest computed polymorph: 62.8 meV/atom
# - Energy relative to the elements, uncorrected: -2.020 eV/atom
# - DFT total energy: -0.31967 Ry/atom
data_BeClF2
_space_group_name_H-M_alt 'R -3 m'
_space_group_IT_number 166
_space_group_name_Hall '-R 3 2"'
_cell_length_a 2.6692
_cell_length_b 2.6692
_cell_length_c 27.7214
_cell_angle_alpha 90.00
_cell_angle_beta 90.00
_cell_angle_gamma 120.00
loop_
_atom_site_label
_atom_site_fract_x
_atom_site_fract_y
_atom_site_fract_z
_atom_site_occupancy
Be1 0.0000 0.0000 0.0000 1
Cl1 0.0000 0.0000 0.5000 1
F1 0.0000 0.0000 0.3655 1

---

No. 8
# Cd7Ag2Sn2 | Alexandria via LeMat-Bulk | PBE | relaxed
# - DFT total energy: -0.12594 Ry/atom
# - Energy of formation from the pure elements: 0.12 eV per atom
data_Cd7Ag2Sn2
_space_group_name_H-M_alt 'C 1 2/m 1'
_space_group_IT_number 12
_space_group_name_Hall '-C 2y'
_cell_length_a 8.799
_cell_length_b 10.321
_cell_length_c 6.100
_cell_angle_alpha 90.00
_cell_angle_beta 96.77
_cell_angle_gamma 90.00
loop_
_atom_site_label
_atom_site_fract_x
_atom_site_fract_y
_atom_site_fract_z
_atom_site_occupancy
Cd1 0.000 0.000 0.000 1
Cd2 0.173 0.500 0.478 1
Cd3 0.221 0.248 0.241 1
Ag1 0.000 0.137 0.500 1
Sn1 0.164 0.500 0.971 1

---

No. 9
# Sr3YAu | Alexandria via LeMat-Bulk | PBE | relaxed
# - ΔE to the lowest computed polymorph: 914.4 meV/atom
# - DFT total energy: -0.15536 Ry/atom
# - Energy of formation from the pure elements: 0.84 eV per atom
data_Sr3YAu
_space_group_name_H-M_alt 'P m -3 m'
_space_group_IT_number 221
_space_group_name_Hall '-P 4 2 3'
_cell_length_a 6.478
_cell_length_b 6.478
_cell_length_c 6.478
_cell_angle_alpha 90.00
_cell_angle_beta 90.00
_cell_angle_gamma 90.00
loop_
_atom_site_label
_atom_site_fract_x
_atom_site_fract_y
_atom_site_fract_z
_atom_site_occupancy
Sr1 0.000 0.000 0.500 1
Y1 0.000 0.000 0.000 1
Au1 0.500 0.500 0.500 1

---

No. 10
# PmDyAlPd | Alexandria via LeMat-Bulk | PBE | relaxed
# - ΔE to the lowest computed polymorph: 59.2 meV/atom
# - DFT total energy: -0.37490 Ry/atom
# - Energy of formation from the pure elements: -0.53 eV per atom
data_PmDyAlPd
_space_group_name_H-M_alt 'F -4 3 m'
_space_group_IT_number 216
_space_group_name_Hall 'F -4 2 3'
_cell_length_a 7.252
_cell_length_b 7.252
_cell_length_c 7.252
_cell_angle_alpha 90.00
_cell_angle_beta 90.00
_cell_angle_gamma 90.00
loop_
_atom_site_label
_atom_site_fract_x
_atom_site_fract_y
_atom_site_fract_z
_atom_site_occupancy
Pm1 0.000 0.000 0.000 1
Dy1 0.000 0.000 0.500 1
Al1 0.250 0.250 0.250 1
Pd1 0.250 0.250 0.750 1